Compound: Y3TiIr
Source: Alexandria
Functional: GGA-PBE
Structure: relaxed

a = 5.3674 Å, b = 5.3674 Å, c = 5.3674 Å
α = 90.00°, β = 90.00°, γ = 90.00°
Closest atoms and distances in Å follow each position.
Positions (direct):
Y1 0.0000 0.5000 0.0000  2 Ir 2.68
Y2 0.0000 0.0000 0.5000  2 Ir 2.68
Y3 0.5000 0.0000 0.0000  2 Ir 2.68
Ir1 0.0000 0.0000 0.0000  6 Y 2.68
Ti1 0.5000 0.5000 0.5000  12 Y 3.80

Computed properties:
Formation energy (eV per atom): 0.05
Distance to the lowest polymorph of the same formula (meV per atom): 0
E (eV for the cell shown): -35.9
N(E_F) (states/eV per cell): 3.775
ρ (g/cm3): 5.44